Compound: CaMg2SnBi
Source: the Alexandria database
Functional: PBE-GGA
Structure: relaxed

a b c (Å): 5.718 5.718 5.718
angles (deg): 90.00 90.00 90.00
Positions (direct):
Ca1 0.000 0.000 0.000
Mg1 0.000 0.500 0.000
Mg2 0.500 0.000 0.000
Sn1 0.000 0.000 0.500
Bi1 0.500 0.500 0.500

Its space group is No. 123. For the electronic total energy, the calculation gives -1.853 eV per atom. The crystal system is tetragonal. The calculation puts the formation enthalpy at 0 K at 0.762 eV/atom.

Compound: HfGe3Mo2
Source: the Alexandria database
Functional: PBE-GGA
Structure: relaxed

a b c (Å): 3.323 10.490 6.149
angles (deg): 90.00 90.00 90.00
Positions (direct):
Hf1 0.000 0.112 0.000
Hf2 0.000 0.888 0.500
Ge1 0.000 0.380 0.824
Ge2 0.000 0.620 0.324
Ge3 0.500 0.081 0.642
Ge4 0.500 0.303 0.167
Ge5 0.500 0.697 0.667
Ge6 0.500 0.919 0.142
Mo1 0.000 0.244 0.486
Mo2 0.000 0.756 0.986
Mo3 0.500 0.454 0.502
Mo4 0.500 0.546 0.002

Its space group is No. 26. For the electronic total energy, the calculation gives -7.678 eV per atom. The crystal system is orthorhombic. The calculation puts the formation enthalpy at 0 K at -0.100 eV/atom.

Compound: LiTlIr
Source: the Alexandria database
Functional: PBE-GGA
Structure: relaxed

a b c (Å): 7.313 7.052 2.949
angles (deg): 83.15 73.24 23.61
Positions (direct):
Li1 0.000 0.000 0.000
Tl1 0.316 0.316 0.684
Ir1 0.644 0.644 0.356

Its space group is No. 42. For the electronic total energy, the calculation gives -4.116 eV per atom. The crystal system is orthorhombic. The calculation puts the formation enthalpy at 0 K at 0.264 eV/atom.

Compound: K2Zr2TiTe6
Source: the Alexandria database
Functional: PBE-GGA
Structure: relaxed

a b c (Å): 7.021 7.021 8.976
angles (deg): 97.86 97.86 119.97
Positions (direct):
K1 0.170 0.830 0.000
K2 0.830 0.170 0.000
Zr1 0.331 0.669 0.500
Zr2 0.669 0.331 0.500
Ti1 0.000 0.000 0.500
Te1 0.074 0.394 0.700
Te2 0.258 0.258 0.302
Te3 0.394 0.074 0.700
Te4 0.606 0.926 0.300
Te5 0.742 0.742 0.698
Te6 0.926 0.606 0.300

Its space group is No. 12. As for the uncorrected formation energy: -928 meV/atom. For the electronic total energy, the calculation gives -5.113 eV per atom. The crystal system is monoclinic.

Compound: TeAsIr2
Source: the Alexandria database
Functional: PBE-GGA
Structure: relaxed

a b c (Å): 4.623 4.623 4.623
angles (deg): 60.00 60.00 60.00
Positions (direct):
Te1 0.000 0.000 0.000
As1 0.500 0.500 0.500
Ir1 0.250 0.250 0.250
Ir2 0.750 0.750 0.750

Its space group is No. 225. As for the uncorrected formation energy: 423 meV/atom. For the electronic total energy, the calculation gives -5.955 eV per atom. The crystal system is cubic.

Compound: LiMg2Tl2
Source: the Alexandria database
Functional: PBE-GGA
Structure: relaxed

a b c (Å): 7.913 7.913 3.939
angles (deg): 90.00 90.00 90.00
Positions (direct):
Li1 0.000 0.000 0.000
Li2 0.500 0.500 0.000
Mg1 0.149 0.351 0.500
Mg2 0.351 0.851 0.500
Mg3 0.649 0.149 0.500
Mg4 0.851 0.649 0.500
Tl1 0.154 0.654 0.000
Tl2 0.346 0.154 0.000
Tl3 0.654 0.846 0.000
Tl4 0.846 0.346 0.000

Its space group is No. 127. For the electronic total energy, the calculation gives -2.010 eV per atom. The crystal system is tetragonal. The calculation puts the formation enthalpy at 0 K at -0.043 eV/atom.

Compound: BaLi2MgCd
Source: the Alexandria database
Functional: PBE-GGA
Structure: relaxed

a b c (Å): 5.367 5.367 5.381
angles (deg): 90.00 90.00 90.00
Positions (direct):
Ba1 0.000 0.000 0.000
Li1 0.000 0.500 0.500
Li2 0.500 0.000 0.500
Mg1 0.500 0.500 0.000
Cd1 0.500 0.500 0.500

Its space group is No. 123. For the electronic total energy, the calculation gives -1.677 eV per atom. The crystal system is tetragonal. The calculation puts the formation enthalpy at 0 K at -0.025 eV/atom.